(1)
The following is a GGA-PBEsol calculation of a relaxed structure of Rb2SiAgSb, from the Alexandria database. Values from VASP.

## Properties
SG	P4/mmm (123)
raw total energy	-12.58	eV for the cell shown

Geometry as Quantum ESPRESSO input:
```
&SYSTEM
  ibrav = 0, nat = 5, ntyp = 4
/
ATOMIC_SPECIES
Rb 85.47 Rb.upf
Si 28.09 Si.upf
Ag 107.87 Ag.upf
Sb 121.76 Sb.upf
ATOMIC_POSITIONS crystal
Rb 0.0000 0.5000 0.0000
Rb 0.5000 0.0000 0.0000
Si 0.0000 0.0000 0.5000
Ag 0.5000 0.5000 0.5000
Sb 0.5000 0.5000 0.0000
CELL_PARAMETERS angstrom
6.9364 0.0000 0.0000
0.0000 6.9364 0.0000
0.0000 0.0000 5.0354
```

***

(2)
The following is a GGA-PBEsol calculation of a relaxed structure of CaCo2Br, from the Alexandria database. Values from VASP.

## Properties
SG	F-43m (216)
raw total energy	-17.40	eV for the cell shown

Geometry as Quantum ESPRESSO input:
```
&SYSTEM
  ibrav = 0, nat = 4, ntyp = 3
/
ATOMIC_SPECIES
Ca 40.08 Ca.upf
Co 58.93 Co.upf
Br 79.90 Br.upf
ATOMIC_POSITIONS crystal
Ca 0.0000 0.0000 0.0000
Co 0.5000 0.5000 0.5000
Co 0.7500 0.7500 0.7500
Br 0.2500 0.2500 0.2500
CELL_PARAMETERS angstrom
0.0000 3.2479 3.2479
3.2479 0.0000 3.2479
3.2479 3.2479 0.0000
```

***

(3)
The following is a GGA-PBEsol calculation of a relaxed structure of BaZr4Pt, from the Alexandria database. Values from VASP.

## Properties
SG	F-43m (216)
formation energy	0.4276	eV/atom
raw total energy	-42.91	eV for the cell shown

Geometry as Quantum ESPRESSO input:
```
&SYSTEM
  ibrav = 0, nat = 6, ntyp = 3
/
ATOMIC_SPECIES
Ba 137.33 Ba.upf
Zr 91.22 Zr.upf
Pt 195.08 Pt.upf
ATOMIC_POSITIONS crystal
Ba 0.0000 0.0000 0.0000
Zr 0.1295 0.6235 0.6235
Zr 0.6235 0.1295 0.6235
Zr 0.6235 0.6235 0.1295
Zr 0.6235 0.6235 0.6235
Pt 0.2500 0.2500 0.2500
CELL_PARAMETERS angstrom
0.0000 4.0900 4.0900
4.0900 0.0000 4.0900
4.0900 4.0900 0.0000
```

***

(4)
The following is a GGA-PBEsol calculation of a relaxed structure of YMoO4F, from the Alexandria database. Values from VASP.

## Properties
SG	P2_1/c (14)
raw total energy	-246.38	eV for the cell shown

Geometry as Quantum ESPRESSO input:
```
&SYSTEM
  ibrav = 0, nat = 28, ntyp = 4
/
ATOMIC_SPECIES
Y 88.91 Y.upf
Mo 95.94 Mo.upf
O 16.00 O.upf
F 19.00 F.upf
ATOMIC_POSITIONS crystal
Y 0.1394 0.0515 0.2998
Y 0.1394 0.4485 0.7998
Y 0.8606 0.5515 0.2002
Y 0.8606 0.9485 0.7002
Mo 0.4184 0.1425 0.8681
Mo 0.4184 0.3575 0.3681
Mo 0.5816 0.6425 0.6319
Mo 0.5816 0.8575 0.1319
O 0.1919 0.0652 0.9635
O 0.1919 0.4348 0.4635
O 0.2640 0.6528 0.4070
O 0.2640 0.8472 0.9070
O 0.3060 0.2235 0.2940
O 0.3060 0.2765 0.7940
O 0.4980 0.0691 0.6625
O 0.4980 0.4309 0.1625
O 0.5020 0.5691 0.8375
O 0.5020 0.9309 0.3375
O 0.6940 0.7235 0.2060
O 0.6940 0.7765 0.7060
O 0.7360 0.1528 0.0930
O 0.7360 0.3472 0.5930
O 0.8081 0.5652 0.5365
O 0.8081 0.9348 0.0365
F 0.0368 0.5993 0.9578
F 0.0368 0.9007 0.4578
F 0.9632 0.0993 0.5422
F 0.9632 0.4007 0.0422
CELL_PARAMETERS angstrom
5.1840 0.0000 0.0000
0.0000 12.2375 0.0000
-2.6546 0.0000 6.0688
```

***

(5)
The following is a GGA-PBEsol calculation of a relaxed structure of InSbP2S, from the Alexandria database. Values from VASP.

## Properties
SG	P4/mmm (123)
raw total energy	-19.14	eV for the cell shown

Geometry as Quantum ESPRESSO input:
```
&SYSTEM
  ibrav = 0, nat = 5, ntyp = 4
/
ATOMIC_SPECIES
In 114.82 In.upf
Sb 121.76 Sb.upf
P 30.97 P.upf
S 32.06 S.upf
ATOMIC_POSITIONS crystal
In 0.0000 0.0000 0.0000
Sb 0.5000 0.5000 0.5000
P 0.0000 0.5000 0.0000
P 0.5000 0.0000 0.0000
S 0.0000 0.0000 0.5000
CELL_PARAMETERS angstrom
4.9315 0.0000 0.0000
0.0000 4.9315 0.0000
0.0000 0.0000 4.8479
```

***

(6)
The following is a GGA-PBEsol calculation of a relaxed structure of MnSiOs2, from the Alexandria database. Values from VASP.

## Properties
SG	C2/m (12)
raw total energy	-39.18	eV for the cell shown

Geometry as Quantum ESPRESSO input:
```
&SYSTEM
  ibrav = 0, nat = 4, ntyp = 3
/
ATOMIC_SPECIES
Mn 54.94 Mn.upf
Si 28.09 Si.upf
Os 190.23 Os.upf
ATOMIC_POSITIONS crystal
Mn 0.0000 0.0000 0.0000
Si 0.5000 0.5000 0.0000
Os 0.0000 0.5000 0.5000
Os 0.5000 0.0000 0.5000
CELL_PARAMETERS angstrom
2.6641 -4.1567 0.0000
2.6641 4.1567 0.0000
-1.2197 0.0000 2.4041
```

***

(7)
The following is a GGA-PBEsol calculation of a relaxed structure of SrTe2Se, from the Alexandria database. Values from VASP.

## Properties
SG	I-42d (122)
raw total energy	-29.10	eV for the cell shown

Geometry as Quantum ESPRESSO input:
```
&SYSTEM
  ibrav = 0, nat = 8, ntyp = 3
/
ATOMIC_SPECIES
Sr 87.62 Sr.upf
Te 127.60 Te.upf
Se 78.96 Se.upf
ATOMIC_POSITIONS crystal
Sr 0.0000 0.0000 0.0000
Sr 0.7500 0.2500 0.5000
Te 0.2016 0.6250 0.0766
Te 0.3750 0.4516 0.5766
Te 0.5484 0.1250 0.9234
Te 0.8750 0.7984 0.4234
Se 0.2500 0.7500 0.5000
Se 0.5000 0.5000 0.0000
CELL_PARAMETERS angstrom
-3.1002 3.1002 8.3867
3.1002 -3.1002 8.3867
3.1002 3.1002 -8.3867
```

***

(8)
The following is a GGA-PBEsol calculation of a relaxed structure of LaCdOs2, from the Alexandria database. Values from VASP.

## Properties
SG	Pmm2 (25)
formation energy	0.2173	eV/atom
raw total energy	-30.11	eV for the cell shown

Geometry as Quantum ESPRESSO input:
```
&SYSTEM
  ibrav = 0, nat = 4, ntyp = 3
/
ATOMIC_SPECIES
La 138.91 La.upf
Cd 112.41 Cd.upf
Os 190.23 Os.upf
ATOMIC_POSITIONS crystal
La 0.0000 0.0000 0.0000
Cd 0.5000 0.5000 0.6704
Os 0.0000 0.0000 0.4222
Os 0.5000 0.5000 0.2860
CELL_PARAMETERS angstrom
2.8584 0.0000 0.0000
0.0000 3.7551 0.0000
0.0000 0.0000 7.4156
```

***

(9)
The following is a GGA-PBEsol calculation of a relaxed structure of Mg2AlAu, from the Alexandria database. Values from VASP.

## Properties
SG	P4mm (99)
formation energy	-0.2379	eV/atom
raw total energy	-12.40	eV for the cell shown

Geometry as Quantum ESPRESSO input:
```
&SYSTEM
  ibrav = 0, nat = 4, ntyp = 3
/
ATOMIC_SPECIES
Mg 24.30 Mg.upf
Al 26.98 Al.upf
Au 196.97 Au.upf
ATOMIC_POSITIONS crystal
Mg 0.0000 0.0000 0.0000
Mg 0.5000 0.5000 0.2770
Al 0.0000 0.0000 0.5330
Au 0.5000 0.5000 0.7552
CELL_PARAMETERS angstrom
3.5107 0.0000 0.0000
0.0000 3.5107 0.0000
0.0000 0.0000 5.9021
```

***

(10)
The following is a GGA-PBEsol calculation of a relaxed structure of InBi3W, from the Alexandria database. Values from VASP.

## Properties
SG	Pm-3m (221)
formation energy	1.8726	eV/atom
raw total energy	-20.28	eV for the cell shown

Geometry as Quantum ESPRESSO input:
```
&SYSTEM
  ibrav = 0, nat = 5, ntyp = 3
/
ATOMIC_SPECIES
In 114.82 In.upf
Bi 208.98 Bi.upf
W 183.84 W.upf
ATOMIC_POSITIONS crystal
In 0.0000 0.0000 0.0000
Bi 0.0000 0.0000 0.5000
Bi 0.0000 0.5000 0.0000
Bi 0.5000 0.0000 0.0000
W 0.5000 0.5000 0.5000
CELL_PARAMETERS angstrom
5.5298 0.0000 0.0000
0.0000 5.5298 0.0000
0.0000 0.0000 5.5298
```

***

(11)
The following is a GGA-PBEsol calculation of a relaxed structure of Tc2AgMo, from the Alexandria database. Values from VASP.

## Properties
SG	Pm (6)
formation energy	0.3044	eV/atom
raw total energy	-36.39	eV for the cell shown

Geometry as Quantum ESPRESSO input:
```
&SYSTEM
  ibrav = 0, nat = 4, ntyp = 3
/
ATOMIC_SPECIES
Tc 98.00 Tc.upf
Ag 107.87 Ag.upf
Mo 95.94 Mo.upf
ATOMIC_POSITIONS crystal
Tc 0.0000 0.0000 0.0000
Tc 0.4829 0.5000 0.7885
Ag 0.4993 0.5000 0.2799
Mo 0.0049 0.0000 0.5541
CELL_PARAMETERS angstrom
2.7483 0.0000 0.0000
0.0000 3.9246 0.0000
-0.0248 0.0000 5.5402
```

***

(12)
The following is a GGA-PBEsol calculation of a relaxed structure of V2Zn3P4O18, from the Alexandria database. Values from VASP.

## Properties
SG	Cm (8)
raw total energy	-197.13	eV for the cell shown

Geometry as Quantum ESPRESSO input:
```
&SYSTEM
  ibrav = 0, nat = 27, ntyp = 4
/
ATOMIC_SPECIES
V 50.94 V.upf
Zn 65.41 Zn.upf
P 30.97 P.upf
O 16.00 O.upf
ATOMIC_POSITIONS crystal
V 0.2500 0.7500 0.0000
V 0.7500 0.2500 0.0000
Zn 0.1913 0.9516 0.5013
Zn 0.4634 0.4634 0.4981
Zn 0.9516 0.1913 0.5013
P 0.0315 0.0315 0.1102
P 0.4194 0.4194 0.8895
P 0.5348 0.9119 0.5001
P 0.9119 0.5348 0.5001
O 0.0143 0.7285 0.4992
O 0.0403 0.8344 0.9644
O 0.0719 0.5265 0.6977
O 0.2093 0.2093 0.7225
O 0.2313 0.2313 0.2195
O 0.3290 0.8741 0.3025
O 0.3698 0.5756 0.0359
O 0.4192 0.9187 0.9993
O 0.4842 0.7134 0.5011
O 0.5065 0.5065 0.7756
O 0.5265 0.0719 0.6977
O 0.5756 0.3698 0.0359
O 0.7134 0.4842 0.5011
O 0.7285 0.0143 0.4992
O 0.8344 0.0403 0.9644
O 0.8741 0.3290 0.3025
O 0.9187 0.4192 0.9993
O 0.9916 0.9916 0.2809
CELL_PARAMETERS angstrom
4.6611 -6.1717 0.0000
4.6611 6.1717 0.0000
-4.6399 0.0000 6.0795
```

***

(13)
The following is a GGA-PBEsol calculation of a relaxed structure of Li4TeIr, from the Alexandria database. Values from VASP.

## Properties
SG	F-43m (216)
raw total energy	-21.84	eV for the cell shown

Geometry as Quantum ESPRESSO input:
```
&SYSTEM
  ibrav = 0, nat = 6, ntyp = 3
/
ATOMIC_SPECIES
Li 6.94 Li.upf
Te 127.60 Te.upf
Ir 192.22 Ir.upf
ATOMIC_POSITIONS crystal
Li 0.1219 0.1219 0.1219
Li 0.1219 0.1219 0.6344
Li 0.1219 0.6344 0.1219
Li 0.6344 0.1219 0.1219
Te 0.5000 0.5000 0.5000
Ir 0.7500 0.7500 0.7500
CELL_PARAMETERS angstrom
0.0000 3.4284 3.4284
3.4284 0.0000 3.4284
3.4284 3.4284 0.0000
```

***

(14)
The following is a GGA-PBEsol calculation of a relaxed structure of Ba2SrSi, from the Alexandria database. Values from VASP.

## Properties
SG	Immm (71)
raw total energy	-12.39	eV for the cell shown

Geometry as Quantum ESPRESSO input:
```
&SYSTEM
  ibrav = 0, nat = 4, ntyp = 3
/
ATOMIC_SPECIES
Ba 137.33 Ba.upf
Sr 87.62 Sr.upf
Si 28.09 Si.upf
ATOMIC_POSITIONS crystal
Ba 0.1570 0.1570 0.0000
Ba 0.8430 0.8430 0.0000
Sr 0.5000 0.0000 0.5000
Si 0.0000 0.5000 0.5000
CELL_PARAMETERS angstrom
-1.9382 2.6247 8.4971
1.9382 -2.6247 8.4971
1.9382 2.6247 -8.4971
```

***

(15)
The following is a GGA-PBEsol calculation of a relaxed structure of ZrCr3Rh, from the Alexandria database. Values from VASP.

## Properties
SG	Pm-3m (221)
formation energy	2.0515	eV/atom
raw total energy	-37.70	eV for the cell shown

Geometry as Quantum ESPRESSO input:
```
&SYSTEM
  ibrav = 0, nat = 5, ntyp = 3
/
ATOMIC_SPECIES
Zr 91.22 Zr.upf
Cr 52.00 Cr.upf
Rh 102.91 Rh.upf
ATOMIC_POSITIONS crystal
Zr 0.0000 0.0000 0.0000
Cr 0.0000 0.0000 0.5000
Cr 0.0000 0.5000 0.0000
Cr 0.5000 0.0000 0.0000
Rh 0.5000 0.5000 0.5000
CELL_PARAMETERS angstrom
4.4655 0.0000 0.0000
0.0000 4.4655 0.0000
0.0000 0.0000 4.4655
```

***

(16)
The following is a GGA-PBEsol calculation of a relaxed structure of MnZn2, from the Alexandria database. Values from VASP.

## Properties
SG	P-3m1 (164)
formation energy	0.1500	eV/atom
raw total energy	-12.47	eV for the cell shown

Geometry as Quantum ESPRESSO input:
```
&SYSTEM
  ibrav = 0, nat = 3, ntyp = 2
/
ATOMIC_SPECIES
Mn 54.94 Mn.upf
Zn 65.41 Zn.upf
ATOMIC_POSITIONS crystal
Mn 0.0000 0.0000 0.0000
Zn 0.3333 0.6667 0.6759
Zn 0.6667 0.3333 0.3241
CELL_PARAMETERS angstrom
2.6236 0.0000 0.0000
-1.3118 2.2721 0.0000
0.0000 0.0000 6.5109
```

***

(17)
The following is a GGA-PBEsol calculation of a relaxed structure of TePb, from the Alexandria database. Values from VASP.

## Properties
SG	Cmcm (63)
raw total energy	-16.31	eV for the cell shown

Geometry as Quantum ESPRESSO input:
```
&SYSTEM
  ibrav = 0, nat = 4, ntyp = 2
/
ATOMIC_SPECIES
Te 127.60 Te.upf
Pb 207.20 Pb.upf
ATOMIC_POSITIONS crystal
Te 0.1272 0.8728 0.7500
Te 0.8728 0.1272 0.2500
Pb 0.3705 0.6295 0.7500
Pb 0.6295 0.3705 0.2500
CELL_PARAMETERS angstrom
2.2286 -6.1984 0.0000
2.2286 6.1984 0.0000
0.0000 0.0000 4.6810
```

***

(18)
The following is a GGA-PBEsol calculation of a relaxed structure of RbSi2H, from the Alexandria database. Values from VASP.

## Properties
SG	Fm-3m (225)
raw total energy	-10.09	eV for the cell shown

Geometry as Quantum ESPRESSO input:
```
&SYSTEM
  ibrav = 0, nat = 4, ntyp = 3
/
ATOMIC_SPECIES
Rb 85.47 Rb.upf
Si 28.09 Si.upf
H 1.01 H.upf
ATOMIC_POSITIONS crystal
Rb 0.0000 0.0000 0.0000
Si 0.2500 0.2500 0.2500
Si 0.7500 0.7500 0.7500
H 0.5000 0.5000 0.5000
CELL_PARAMETERS angstrom
0.0000 3.4518 3.4518
3.4518 0.0000 3.4518
3.4518 3.4518 0.0000
```

***

(19)
The following is a GGA-PBEsol calculation of a relaxed structure of SrYZn2O, from the Alexandria database. Values from VASP.

## Properties
SG	P4/mmm (123)
raw total energy	-16.97	eV for the cell shown

Geometry as Quantum ESPRESSO input:
```
&SYSTEM
  ibrav = 0, nat = 5, ntyp = 4
/
ATOMIC_SPECIES
Sr 87.62 Sr.upf
Y 88.91 Y.upf
Zn 65.41 Zn.upf
O 16.00 O.upf
ATOMIC_POSITIONS crystal
Sr 0.0000 0.0000 0.0000
Y 0.5000 0.5000 0.5000
Zn 0.0000 0.5000 0.0000
Zn 0.5000 0.0000 0.0000
O 0.0000 0.0000 0.5000
CELL_PARAMETERS angstrom
5.4856 0.0000 0.0000
0.0000 5.4856 0.0000
0.0000 0.0000 4.3426
```

***

(20)
The following is a GGA-PBEsol calculation of a relaxed structure of CdTc, from the Alexandria database. Values from VASP.

## Properties
SG	Pmma (51)
formation energy	0.4206	eV/atom
raw total energy	-23.24	eV for the cell shown

Geometry as Quantum ESPRESSO input:
```
&SYSTEM
  ibrav = 0, nat = 4, ntyp = 2
/
ATOMIC_SPECIES
Cd 112.41 Cd.upf
Tc 98.00 Tc.upf
ATOMIC_POSITIONS crystal
Cd 0.2500 0.0000 0.1453
Cd 0.7500 0.0000 0.8547
Tc 0.2500 0.5000 0.6133
Tc 0.7500 0.5000 0.3867
CELL_PARAMETERS angstrom
4.4214 0.0000 0.0000
0.0000 2.8538 0.0000
0.0000 0.0000 5.2426
```